A relaxed structure of Ta2MnTl3O8, computed with PBE with a Hubbard U.

a = 5.944 Å, b = 5.944 Å, c = 7.763 Å
α = 90.00°, β = 90.00°, γ = 120.00°
Positions (direct):
Ta  0.333  0.667  0.283
Ta  0.667  0.333  0.717
Mn  0.000  0.000  0.500
Tl  0.000  0.000  0.000
Tl  0.333  0.667  0.728
Tl  0.667  0.333  0.272
O  0.158  0.316  0.353
O  0.158  0.842  0.353
O  0.316  0.158  0.647
O  0.333  0.667  0.047
O  0.667  0.333  0.953
O  0.684  0.842  0.353
O  0.842  0.158  0.647
O  0.842  0.684  0.647

Computed properties:
The value obtained for the total energy is -7.2886 eV per atom.